Density functional theory data (PBE with a Hubbard U) for a geometry-optimized CsV2SbO8 structure.

a = 5.682 Å, b = 17.020 Å, c = 10.448 Å
α = 90.00°, β = 122.74°, γ = 90.00°
Positions (direct):
Cs 0.237 0.226 0.498
Cs 0.237 0.274 0.998
Cs 0.763 0.726 0.002
Cs 0.763 0.774 0.502
V 0.304 0.606 0.548
V 0.304 0.894 0.048
V 0.403 0.579 0.132
V 0.403 0.921 0.632
V 0.597 0.079 0.368
V 0.597 0.421 0.868
V 0.696 0.106 0.952
V 0.696 0.394 0.452
Sb 0.014 0.043 0.756
Sb 0.014 0.457 0.256
Sb 0.986 0.543 0.744
Sb 0.986 0.957 0.244
O 0.162 0.680 0.430
O 0.162 0.820 0.930
O 0.173 0.606 0.936
O 0.173 0.894 0.436
O 0.191 0.610 0.678
O 0.191 0.890 0.178
O 0.206 0.515 0.453
O 0.206 0.985 0.953
O 0.236 0.512 0.186
O 0.236 0.988 0.686
O 0.279 0.039 0.338
O 0.279 0.461 0.838
O 0.323 0.122 0.852
O 0.323 0.378 0.352
O 0.466 0.662 0.224
O 0.466 0.838 0.724
O 0.534 0.162 0.276
O 0.534 0.338 0.776
O 0.677 0.622 0.648
O 0.677 0.878 0.148
O 0.721 0.539 0.162
O 0.721 0.961 0.662
O 0.764 0.012 0.314
O 0.764 0.488 0.814
O 0.794 0.015 0.047
O 0.794 0.485 0.547
O 0.809 0.110 0.822
O 0.809 0.390 0.322
O 0.827 0.106 0.564
O 0.827 0.394 0.064
O 0.838 0.180 0.070
O 0.838 0.320 0.570

## Properties
* crystal system: monoclinic
* space group: P2_1/c
* calculated total energy: -6.753 eV/atom



Density functional theory data (PBE with a Hubbard U) for a geometry-optimized CsV2SbO8 structure.

a = 5.451 Å, b = 5.451 Å, c = 8.670 Å
α = 90.00°, β = 90.00°, γ = 120.00°
Positions (direct):
Cs 0.000 0.000 0.000
V 0.333 0.667 0.697
V 0.667 0.333 0.303
Sb 0.000 0.000 0.500
O 0.070 0.322 0.637
O 0.252 0.930 0.637
O 0.322 0.252 0.363
O 0.333 0.667 0.887
O 0.667 0.333 0.113
O 0.678 0.748 0.637
O 0.748 0.070 0.363
O 0.930 0.678 0.363

## Properties
* crystal system: trigonal
* space group: P-3
* calculated total energy: -6.759 eV/atom



Density functional theory data (PBE with a Hubbard U) for a geometry-optimized CsSbWO6 structure.

a = 7.404 Å, b = 7.404 Å, c = 7.404 Å
α = 120.65°, β = 119.73°, γ = 89.67°
Positions (direct):
Cs 0.373 0.123 0.250
Cs 0.627 0.877 0.750
Sb 0.000 0.000 0.500
Sb 0.000 0.500 0.000
W 0.000 0.500 0.500
W 0.500 0.500 0.000
O 0.065 0.435 0.254
O 0.065 0.811 0.630
O 0.074 0.824 0.250
O 0.308 0.558 0.750
O 0.319 0.189 0.754
O 0.319 0.565 0.130
O 0.681 0.435 0.870
O 0.681 0.811 0.246
O 0.692 0.442 0.250
O 0.926 0.176 0.750
O 0.935 0.189 0.370
O 0.935 0.565 0.746

## Properties
* crystal system: orthorhombic
* space group: Imma
* calculated total energy: -6.519 eV/atom



Density functional theory data (PBE with a Hubbard U) for a geometry-optimized CsSbWO6 structure.

a = 5.392 Å, b = 5.392 Å, c = 6.761 Å
α = 90.00°, β = 90.00°, γ = 120.00°
Positions (direct):
Cs 0.000 0.000 0.000
Sb 0.333 0.667 0.500
W 0.667 0.333 0.500
O 0.403 0.008 0.666
O 0.403 0.395 0.334
O 0.605 0.008 0.334
O 0.605 0.597 0.666
O 0.992 0.395 0.666
O 0.992 0.597 0.334

## Properties
* crystal system: trigonal
* space group: P312
* calculated total energy: -6.447 eV/atom



Density functional theory data (PBE with a Hubbard U) for a geometry-optimized Cs2SbWO structure.

a = 7.279 Å, b = 7.279 Å, c = 5.272 Å
α = 90.00°, β = 90.00°, γ = 90.00°
Positions (direct):
Cs 0.000 0.500 0.000
Cs 0.500 0.000 0.000
Sb 0.000 0.000 0.500
W 0.000 0.000 0.000
O 0.500 0.500 0.500

## Properties
* crystal system: tetragonal
* space group: P4/mmm
* calculated total energy: -2.933 eV/atom